No. 1
# TaPb2, PBEsol geometry, DFT SCAN
data_TaPb2
_cell_length_a 5.175
_cell_length_b 5.175
_cell_length_c 3.036
_cell_angle_alpha 90.00
_cell_angle_beta 90.00
_cell_angle_gamma 120.00
_space_group_name_H-M_alt 'P 1'
_space_group_IT_number 1
loop_
_space_group_symop_operation_xyz
'x,y,z'
loop_
_atom_site_label
_atom_site_fract_x
_atom_site_fract_y
_atom_site_fract_z
Ta1 0.000 0.000 0.000
Pb1 0.333 0.667 0.728
Pb2 0.667 0.333 0.272
# spin magnetization	0.0	μB/f.u.
# D(E_F)	1.8	states/eV/cell
# density	14.04	g/cm³
# total energy	-215.84	eV per cell

No. 2
# CrAgBr2, PBEsol geometry, DFT SCAN
data_CrAgBr2
_cell_length_a 4.895
_cell_length_b 4.895
_cell_length_c 4.895
_cell_angle_alpha 60.00
_cell_angle_beta 60.00
_cell_angle_gamma 60.00
_space_group_name_H-M_alt 'P 1'
_space_group_IT_number 1
loop_
_space_group_symop_operation_xyz
'x,y,z'
loop_
_atom_site_label
_atom_site_fract_x
_atom_site_fract_y
_atom_site_fract_z
Cr1 0.000 0.000 0.000
Ag1 0.500 0.500 0.500
Br1 0.250 0.250 0.250
Br2 0.750 0.750 0.750
# spin magnetization	5.0	μB/f.u.
# D(E_F)	2.4	states/eV/cell
# density	6.40	g/cm³
# total energy	-89.25	eV per cell
# relative energy among the computed polymorphs	0.141	eV per atom
# formation energy from raw total energies	-144	meV per atom

No. 3
# AlTlIn2, PBEsol geometry, DFT SCAN
data_AlTlIn2
_cell_length_a 3.643
_cell_length_b 5.158
_cell_length_c 5.172
_cell_angle_alpha 90.00
_cell_angle_beta 90.00
_cell_angle_gamma 90.00
_space_group_name_H-M_alt 'P 1'
_space_group_IT_number 1
loop_
_space_group_symop_operation_xyz
'x,y,z'
loop_
_atom_site_label
_atom_site_fract_x
_atom_site_fract_y
_atom_site_fract_z
Al1 0.000 0.000 0.000
Tl1 0.500 0.500 0.000
In1 0.000 0.500 0.500
In2 0.500 0.000 0.500
# spin magnetization	0.0	μB/f.u.
# D(E_F)	2.0	states/eV/cell
# density	7.88	g/cm³
# total energy	-146.01	eV per cell
# relative energy among the computed polymorphs	0.093	eV per atom

No. 4
# HfFeTe3, PBEsol geometry, DFT SCAN
data_HfFeTe3
_cell_length_a 5.461
_cell_length_b 5.461
_cell_length_c 5.461
_cell_angle_alpha 90.00
_cell_angle_beta 90.00
_cell_angle_gamma 90.00
_space_group_name_H-M_alt 'P 1'
_space_group_IT_number 1
loop_
_space_group_symop_operation_xyz
'x,y,z'
loop_
_atom_site_label
_atom_site_fract_x
_atom_site_fract_y
_atom_site_fract_z
Hf1 0.000 0.000 0.000
Fe1 0.500 0.500 0.500
Te1 0.000 0.000 0.500
Te2 0.000 0.500 0.000
Te3 0.500 0.000 0.000
# spin magnetization	4.0	μB/f.u.
# D(E_F)	6.0	states/eV/cell
# density	6.29	g/cm³
# total energy	-190.43	eV per cell
# formation energy from raw total energies	424	meV per atom

No. 5
# InRePb2, PBEsol geometry, DFT SCAN
data_InRePb2
_cell_length_a 3.280
_cell_length_b 3.303
_cell_length_c 8.617
_cell_angle_alpha 90.00
_cell_angle_beta 90.00
_cell_angle_gamma 90.00
_space_group_name_H-M_alt 'P 1'
_space_group_IT_number 1
loop_
_space_group_symop_operation_xyz
'x,y,z'
loop_
_atom_site_label
_atom_site_fract_x
_atom_site_fract_y
_atom_site_fract_z
In1 0.000 0.000 0.000
Re1 0.000 0.000 0.500
Pb1 0.500 0.500 0.300
Pb2 0.500 0.500 0.700
# spin magnetization	0.0	μB/f.u.
# D(E_F)	1.7	states/eV/cell
# density	12.73	g/cm³
# total energy	-253.28	eV per cell
# relative energy among the computed polymorphs	0.000	eV per atom

No. 6
# InTePd2, PBEsol geometry, DFT SCAN
data_InTePd2
_cell_length_a 4.712
_cell_length_b 4.712
_cell_length_c 4.712
_cell_angle_alpha 60.00
_cell_angle_beta 60.00
_cell_angle_gamma 60.00
_space_group_name_H-M_alt 'P 1'
_space_group_IT_number 1
loop_
_space_group_symop_operation_xyz
'x,y,z'
loop_
_atom_site_label
_atom_site_fract_x
_atom_site_fract_y
_atom_site_fract_z
In1 0.000 0.000 0.000
Te1 0.500 0.500 0.500
Pd1 0.250 0.250 0.250
Pd2 0.750 0.750 0.750
# spin magnetization	0.0	μB/f.u.
# D(E_F)	2.6	states/eV/cell
# density	10.22	g/cm³
# total energy	-137.19	eV per cell
# formation energy from raw total energies	-251	meV per atom

No. 7
# RePAuS2, PBEsol geometry, DFT SCAN
data_RePAuS2
_cell_length_a 4.461
_cell_length_b 4.461
_cell_length_c 4.832
_cell_angle_alpha 90.00
_cell_angle_beta 90.00
_cell_angle_gamma 90.00
_space_group_name_H-M_alt 'P 1'
_space_group_IT_number 1
loop_
_space_group_symop_operation_xyz
'x,y,z'
loop_
_atom_site_label
_atom_site_fract_x
_atom_site_fract_y
_atom_site_fract_z
Re1 0.000 0.000 0.000
P1 0.000 0.000 0.500
Au1 0.500 0.500 0.500
S1 0.000 0.500 0.000
S2 0.500 0.000 0.000
# spin magnetization	0.0	μB/f.u.
# D(E_F)	2.4	states/eV/cell
# density	8.26	g/cm³
# total energy	-166.50	eV per cell
# formation energy from raw total energies	682	meV per atom

No. 8
# Ti3TePb4O13, PBEsol geometry, DFT SCAN
data_Ti3TePb4O13
_cell_length_a 7.327
_cell_length_b 7.327
_cell_length_c 7.327
_cell_angle_alpha 59.64
_cell_angle_beta 59.64
_cell_angle_gamma 59.64
_space_group_name_H-M_alt 'P 1'
_space_group_IT_number 1
loop_
_space_group_symop_operation_xyz
'x,y,z'
loop_
_atom_site_label
_atom_site_fract_x
_atom_site_fract_y
_atom_site_fract_z
Ti1 0.167 0.167 0.665
Ti2 0.167 0.665 0.167
Ti3 0.665 0.167 0.167
Te1 0.167 0.167 0.167
Pb1 0.158 0.670 0.670
Pb2 0.668 0.668 0.668
Pb3 0.670 0.158 0.670
Pb4 0.670 0.670 0.158
O1 0.100 0.100 0.480
O2 0.100 0.480 0.100
O3 0.106 0.483 0.483
O4 0.234 0.847 0.847
O5 0.237 0.237 0.852
O6 0.237 0.852 0.237
O7 0.480 0.100 0.100
O8 0.483 0.106 0.483
O9 0.483 0.483 0.106
O10 0.540 0.540 0.540
O11 0.847 0.234 0.847
O12 0.847 0.847 0.234
O13 0.852 0.237 0.237
# spin magnetization	0.0	μB/f.u.
# D(E_F)	0.0	states/eV/cell
# density	7.87	g/cm³
# total energy	-514.60	eV per cell
# formation energy from raw total energies	-2149	meV per atom